# 1
An optimized crystal structure of PaBNO. Source: the Open Quantum Materials Database, functional PBE-GGA.

Values from the calculation:
M_tot   0.001 μB per atom
V   99.5 Å³/cell
Distance to the lowest polymorph of the same formula   1.49 eV/f.u.

```
data_PaBNO
_space_group_name_H-M_alt 'P 1'
_space_group_IT_number 1
_cell_length_a 4.788
_cell_length_b 4.788
_cell_length_c 4.340
_cell_angle_alpha 90.00
_cell_angle_beta 90.00
_cell_angle_gamma 90.00
loop_
_space_group_symop_operation_xyz
'x,y,z'
loop_
_atom_site_label
_atom_site_type_symbol
_atom_site_fract_x
_atom_site_fract_y
_atom_site_fract_z
Pa1 Pa 0.250 0.750 0.000
Pa2 Pa 0.750 0.250 0.000
B1 B 0.250 0.250 0.483
B2 B 0.750 0.750 0.517
N1 N 0.250 0.250 0.802
N2 N 0.750 0.750 0.198
O1 O 0.250 0.750 0.500
O2 O 0.750 0.250 0.500
```


# 2
An optimized crystal structure of PaBNO. Source: the Open Quantum Materials Database, functional PBE-GGA.

Values from the calculation:
M_tot   0.001 μB per atom
V   93.5 Å³/cell
Distance to the lowest polymorph of the same formula   1.38 eV/f.u.

```
data_PaBNO
_space_group_name_H-M_alt 'P 1'
_space_group_IT_number 1
_cell_length_a 3.694
_cell_length_b 3.694
_cell_length_c 6.854
_cell_angle_alpha 90.00
_cell_angle_beta 90.00
_cell_angle_gamma 90.00
loop_
_space_group_symop_operation_xyz
'x,y,z'
loop_
_atom_site_label
_atom_site_type_symbol
_atom_site_fract_x
_atom_site_fract_y
_atom_site_fract_z
Pa1 Pa 0.250 0.250 0.211
Pa2 Pa 0.750 0.750 0.789
B1 B 0.250 0.750 0.500
B2 B 0.750 0.250 0.500
N1 N 0.250 0.250 0.533
N2 N 0.750 0.750 0.467
O1 O 0.250 0.750 0.000
O2 O 0.750 0.250 0.000
```


# 3
An optimized crystal structure of PaBNO. Source: the Open Quantum Materials Database, functional PBE-GGA.

Values from the calculation:
M_tot   0.249 μB per atom
V   90.5 Å³/cell
Distance to the lowest polymorph of the same formula   0.00 eV/f.u.

```
data_PaBNO
_space_group_name_H-M_alt 'P 1'
_space_group_IT_number 1
_cell_length_a 3.078
_cell_length_b 5.533
_cell_length_c 5.314
_cell_angle_alpha 90.00
_cell_angle_beta 90.00
_cell_angle_gamma 90.00
loop_
_space_group_symop_operation_xyz
'x,y,z'
loop_
_atom_site_label
_atom_site_type_symbol
_atom_site_fract_x
_atom_site_fract_y
_atom_site_fract_z
Pa1 Pa 0.000 0.236 0.000
Pa2 Pa 0.000 0.764 0.500
B1 B 0.500 0.212 0.444
B2 B 0.500 0.788 0.944
N1 N 0.000 0.183 0.556
N2 N 0.000 0.817 0.056
O1 O 0.500 0.440 0.298
O2 O 0.500 0.560 0.798
```


# 4
An optimized crystal structure of PaBNO. Source: the Open Quantum Materials Database, functional PBE-GGA.

Values from the calculation:
M_tot   0.261 μB per atom
V   89.3 Å³/cell
Distance to the lowest polymorph of the same formula   0.58 eV/f.u.

```
data_PaBNO
_space_group_name_H-M_alt 'P 1'
_space_group_IT_number 1
_cell_length_a 3.622
_cell_length_b 4.883
_cell_length_c 5.050
_cell_angle_alpha 90.00
_cell_angle_beta 90.00
_cell_angle_gamma 90.00
loop_
_space_group_symop_operation_xyz
'x,y,z'
loop_
_atom_site_label
_atom_site_type_symbol
_atom_site_fract_x
_atom_site_fract_y
_atom_site_fract_z
Pa1 Pa 0.000 0.235 0.000
Pa2 Pa 0.000 0.765 0.500
B1 B 0.500 0.317 0.499
B2 B 0.500 0.683 0.999
N1 N 0.500 0.498 0.750
N2 N 0.500 0.502 0.250
O1 O 0.000 0.241 0.500
O2 O 0.000 0.759 0.000
```


# 5
An optimized crystal structure of PmBNO. Source: the Open Quantum Materials Database, functional PBE-GGA.

Values from the calculation:
M_tot   0.001 μB per atom
V   92.1 Å³/cell
Distance to the lowest polymorph of the same formula   0.77 eV/f.u.

```
data_PmBNO
_space_group_name_H-M_alt 'P 1'
_space_group_IT_number 1
_cell_length_a 3.590
_cell_length_b 5.187
_cell_length_c 4.946
_cell_angle_alpha 90.00
_cell_angle_beta 90.00
_cell_angle_gamma 90.00
loop_
_space_group_symop_operation_xyz
'x,y,z'
loop_
_atom_site_label
_atom_site_type_symbol
_atom_site_fract_x
_atom_site_fract_y
_atom_site_fract_z
Pm1 Pm 0.000 0.240 0.000
Pm2 Pm 0.000 0.760 0.500
B1 B 0.500 0.349 0.498
B2 B 0.500 0.651 0.998
N1 N 0.500 0.497 0.750
N2 N 0.500 0.503 0.250
O1 O 0.000 0.203 0.499
O2 O 0.000 0.797 0.999
```


# 6
An optimized crystal structure of PmBNO. Source: the Open Quantum Materials Database, functional PBE-GGA.

Values from the calculation:
M_tot   0.000 μB per atom
V   207.5 Å³/cell
Distance to the lowest polymorph of the same formula   0.00 eV/f.u.

```
data_PmBNO
_space_group_name_H-M_alt 'P 1'
_space_group_IT_number 1
_cell_length_a 7.412
_cell_length_b 5.312
_cell_length_c 5.270
_cell_angle_alpha 90.00
_cell_angle_beta 90.00
_cell_angle_gamma 90.00
loop_
_space_group_symop_operation_xyz
'x,y,z'
loop_
_atom_site_label
_atom_site_type_symbol
_atom_site_fract_x
_atom_site_fract_y
_atom_site_fract_z
Pm1 Pm 0.154 0.006 0.250
Pm2 Pm 0.154 0.494 0.750
Pm3 Pm 0.846 0.506 0.250
Pm4 Pm 0.846 0.994 0.750
B1 B 0.371 0.524 0.250
B2 B 0.371 0.976 0.750
B3 B 0.629 0.024 0.250
B4 B 0.629 0.476 0.750
N1 N 0.188 0.506 0.250
N2 N 0.188 0.994 0.750
N3 N 0.812 0.006 0.250
N4 N 0.812 0.494 0.750
O1 O 0.461 0.065 0.250
O2 O 0.461 0.435 0.750
O3 O 0.539 0.565 0.250
O4 O 0.539 0.935 0.750
```


# 7
An optimized crystal structure of PmBNO. Source: the Open Quantum Materials Database, functional PBE-GGA.

Values from the calculation:
M_tot   0.186 μB per atom
V   110.2 Å³/cell
Distance to the lowest polymorph of the same formula   2.91 eV/f.u.

```
data_PmBNO
_space_group_name_H-M_alt 'P 1'
_space_group_IT_number 1
_cell_length_a 4.924
_cell_length_b 4.924
_cell_length_c 4.547
_cell_angle_alpha 90.00
_cell_angle_beta 90.00
_cell_angle_gamma 90.00
loop_
_space_group_symop_operation_xyz
'x,y,z'
loop_
_atom_site_label
_atom_site_type_symbol
_atom_site_fract_x
_atom_site_fract_y
_atom_site_fract_z
Pm1 Pm 0.250 0.750 0.000
Pm2 Pm 0.750 0.250 0.000
B1 B 0.250 0.250 0.404
B2 B 0.750 0.750 0.596
N1 N 0.250 0.250 0.107
N2 N 0.750 0.750 0.893
O1 O 0.250 0.750 0.500
O2 O 0.750 0.250 0.500
```


# 8
An optimized crystal structure of PmBNO. Source: the Open Quantum Materials Database, functional PBE-GGA.

Values from the calculation:
M_tot   0.002 μB per atom
V   96.8 Å³/cell
Distance to the lowest polymorph of the same formula   2.52 eV/f.u.

```
data_PmBNO
_space_group_name_H-M_alt 'P 1'
_space_group_IT_number 1
_cell_length_a 3.635
_cell_length_b 3.635
_cell_length_c 7.324
_cell_angle_alpha 90.00
_cell_angle_beta 90.00
_cell_angle_gamma 90.00
loop_
_space_group_symop_operation_xyz
'x,y,z'
loop_
_atom_site_label
_atom_site_type_symbol
_atom_site_fract_x
_atom_site_fract_y
_atom_site_fract_z
Pm1 Pm 0.250 0.250 0.178
Pm2 Pm 0.750 0.750 0.822
B1 B 0.250 0.750 0.500
B2 B 0.750 0.250 0.500
N1 N 0.250 0.250 0.519
N2 N 0.750 0.750 0.481
O1 O 0.250 0.750 0.000
O2 O 0.750 0.250 0.000
```


# 9
An optimized crystal structure of PmBNO. Source: the Open Quantum Materials Database, functional PBE-GGA.

Values from the calculation:
M_tot   0.002 μB per atom
V   90.9 Å³/cell
Distance to the lowest polymorph of the same formula   0.23 eV/f.u.

```
data_PmBNO
_space_group_name_H-M_alt 'P 1'
_space_group_IT_number 1
_cell_length_a 2.830
_cell_length_b 5.854
_cell_length_c 5.486
_cell_angle_alpha 90.00
_cell_angle_beta 90.00
_cell_angle_gamma 90.00
loop_
_space_group_symop_operation_xyz
'x,y,z'
loop_
_atom_site_label
_atom_site_type_symbol
_atom_site_fract_x
_atom_site_fract_y
_atom_site_fract_z
Pm1 Pm 0.000 0.241 0.000
Pm2 Pm 0.000 0.759 0.500
B1 B 0.500 0.266 0.485
B2 B 0.500 0.734 0.985
N1 N 0.000 0.347 0.562
N2 N 0.000 0.653 0.062
O1 O 0.500 0.074 0.324
O2 O 0.500 0.926 0.824
```


# 10
An optimized crystal structure of PrBNO. Source: the Open Quantum Materials Database, functional PBE-GGA.

Values from the calculation:
M_tot   0.197 μB per atom
V   117.0 Å³/cell
Distance to the lowest polymorph of the same formula   4.23 eV/f.u.

```
data_PrBNO
_space_group_name_H-M_alt 'P 1'
_space_group_IT_number 1
_cell_length_a 5.041
_cell_length_b 5.041
_cell_length_c 4.605
_cell_angle_alpha 90.00
_cell_angle_beta 90.00
_cell_angle_gamma 90.00
loop_
_space_group_symop_operation_xyz
'x,y,z'
loop_
_atom_site_label
_atom_site_type_symbol
_atom_site_fract_x
_atom_site_fract_y
_atom_site_fract_z
Pr1 Pr 0.250 0.750 0.000
Pr2 Pr 0.750 0.250 0.000
B1 B 0.250 0.250 0.405
B2 B 0.750 0.750 0.595
N1 N 0.250 0.250 0.113
N2 N 0.750 0.750 0.887
O1 O 0.250 0.750 0.500
O2 O 0.750 0.250 0.500
```


# 11
An optimized crystal structure of PrBNO. Source: the Open Quantum Materials Database, functional PBE-GGA.

Values from the calculation:
M_tot   0.001 μB per atom
V   93.9 Å³/cell
Distance to the lowest polymorph of the same formula   1.54 eV/f.u.

```
data_PrBNO
_space_group_name_H-M_alt 'P 1'
_space_group_IT_number 1
_cell_length_a 2.858
_cell_length_b 6.066
_cell_length_c 5.416
_cell_angle_alpha 90.00
_cell_angle_beta 90.00
_cell_angle_gamma 90.00
loop_
_space_group_symop_operation_xyz
'x,y,z'
loop_
_atom_site_label
_atom_site_type_symbol
_atom_site_fract_x
_atom_site_fract_y
_atom_site_fract_z
Pr1 Pr 0.000 0.247 0.000
Pr2 Pr 0.000 0.753 0.500
B1 B 0.500 0.257 0.469
B2 B 0.500 0.743 0.969
N1 N 0.000 0.343 0.536
N2 N 0.000 0.657 0.036
O1 O 0.500 0.064 0.319
O2 O 0.500 0.936 0.819
```